*i*
# TbSmPdRu

A geometry-optimized TbSmPdRu structure (GGA-PBE, the Alexandria database).

Structure (CIF):
```
data_TbSmPdRu
_cell_length_a 3.463
_cell_length_b 3.463
_cell_length_c 7.139
_cell_angle_alpha 90.00
_cell_angle_beta 90.00
_cell_angle_gamma 90.00
_symmetry_space_group_name_H-M 'P 4 m m'
_symmetry_Int_Tables_number 99
_symmetry_space_group_name_Hall 'P 4 -2'
loop_
_atom_site_label
_atom_site_fract_x
_atom_site_fract_y
_atom_site_fract_z
Tb1 0.000 0.000 0.000
Sm1 0.000 0.000 0.521
Pd1 0.500 0.500 0.250
Ru1 0.500 0.500 0.766
```

Computed properties:
The magnetic moment comes out at 0.00 Bohr magnetons per cell.

*ii*
# TbSmPdRu

A geometry-optimized TbSmPdRu structure (GGA-PBE, the Alexandria database).

Structure (CIF):
```
data_TbSmPdRu
_cell_length_a 6.987
_cell_length_b 6.987
_cell_length_c 6.987
_cell_angle_alpha 90.00
_cell_angle_beta 90.00
_cell_angle_gamma 90.00
_symmetry_space_group_name_H-M 'F -4 3 m'
_symmetry_Int_Tables_number 216
_symmetry_space_group_name_Hall 'F -4 2 3'
loop_
_atom_site_label
_atom_site_fract_x
_atom_site_fract_y
_atom_site_fract_z
Tb1 0.000 0.000 0.000
Sm1 0.000 0.000 0.500
Pd1 0.250 0.250 0.250
Ru1 0.250 0.250 0.750
```

Computed properties:
The magnetic moment comes out at 0.00 Bohr magnetons per cell.

Stability order, top to bottom: *i*, *ii*

*i*
# SmThPdRu

A geometry-optimized SmThPdRu structure (GGA-PBE, the Alexandria database).

Structure (CIF):
```
data_SmThPdRu
_cell_length_a 7.115
_cell_length_b 7.115
_cell_length_c 7.115
_cell_angle_alpha 90.00
_cell_angle_beta 90.00
_cell_angle_gamma 90.00
_symmetry_space_group_name_H-M 'F -4 3 m'
_symmetry_Int_Tables_number 216
_symmetry_space_group_name_Hall 'F -4 2 3'
loop_
_atom_site_label
_atom_site_fract_x
_atom_site_fract_y
_atom_site_fract_z
Sm1 0.000 0.000 0.000
Th1 0.000 0.000 0.500
Pd1 0.250 0.250 0.250
Ru1 0.250 0.250 0.750
```

Computed properties:
The magnetic moment comes out at 0.00 Bohr magnetons per cell.

*ii*
# SmThPdRu

A geometry-optimized SmThPdRu structure (GGA-PBE, the Alexandria database).

Structure (CIF):
```
data_SmThPdRu
_cell_length_a 4.092
_cell_length_b 3.935
_cell_length_c 11.524
_cell_angle_alpha 90.00
_cell_angle_beta 90.00
_cell_angle_gamma 90.00
_symmetry_space_group_name_H-M 'A m m 2'
_symmetry_Int_Tables_number 38
_symmetry_space_group_name_Hall 'A 2 -2'
loop_
_atom_site_label
_atom_site_fract_x
_atom_site_fract_y
_atom_site_fract_z
Sm1 0.000 0.000 0.000
Th1 0.500 0.000 0.279
Pd1 0.500 0.000 0.559
Ru1 0.000 0.000 0.741
```

Computed properties:
The magnetic moment comes out at 0.00 Bohr magnetons per cell.

Stability order, top to bottom: *ii*, *i*

*i*
# SnPd2Ru2

A geometry-optimized SnPd2Ru2 structure (GGA-PBE, the Alexandria database).

Structure (CIF):
```
data_SnPd2Ru2
_cell_length_a 3.669
_cell_length_b 3.669
_cell_length_c 12.781
_cell_angle_alpha 90.00
_cell_angle_beta 90.00
_cell_angle_gamma 90.00
_symmetry_space_group_name_H-M 'I 4/m m m'
_symmetry_Int_Tables_number 139
_symmetry_space_group_name_Hall '-I 4 2'
loop_
_atom_site_label
_atom_site_fract_x
_atom_site_fract_y
_atom_site_fract_z
Sn1 0.000 0.000 0.000
Pd1 0.000 0.500 0.250
Ru1 0.000 0.000 0.404
```

Computed properties:
The magnetic moment comes out at 0.00 Bohr magnetons per cell.

*ii*
# SnPd2Ru2

A geometry-optimized SnPd2Ru2 structure (GGA-PBE, the Alexandria database).

Structure (CIF):
```
data_SnPd2Ru2
_cell_length_a 6.714
_cell_length_b 6.714
_cell_length_c 3.796
_cell_angle_alpha 90.00
_cell_angle_beta 90.00
_cell_angle_gamma 90.00
_symmetry_space_group_name_H-M 'P 4/m b m'
_symmetry_Int_Tables_number 127
_symmetry_space_group_name_Hall '-P 4 2ab'
loop_
_atom_site_label
_atom_site_fract_x
_atom_site_fract_y
_atom_site_fract_z
Sn1 0.000 0.000 0.000
Pd1 0.168 0.332 0.500
Ru1 0.125 0.625 0.000
```

Computed properties:
The magnetic moment comes out at 0.00 Bohr magnetons per cell.

Stability order, top to bottom: *ii*, *i*

*i*
# SnPd3Ru

A geometry-optimized SnPd3Ru structure (GGA-PBE, the Alexandria database).

Structure (CIF):
```
data_SnPd3Ru
_cell_length_a 4.873
_cell_length_b 4.873
_cell_length_c 4.873
_cell_angle_alpha 90.00
_cell_angle_beta 90.00
_cell_angle_gamma 90.00
_symmetry_space_group_name_H-M 'P m -3 m'
_symmetry_Int_Tables_number 221
_symmetry_space_group_name_Hall '-P 4 2 3'
loop_
_atom_site_label
_atom_site_fract_x
_atom_site_fract_y
_atom_site_fract_z
Sn1 0.000 0.000 0.000
Pd1 0.000 0.000 0.500
Ru1 0.500 0.500 0.500
```

Computed properties:
The magnetic moment comes out at 2.93 Bohr magnetons per cell.

*ii*
# SnPd3Ru

A geometry-optimized SnPd3Ru structure (GGA-PBE, the Alexandria database).

Structure (CIF):
```
data_SnPd3Ru
_cell_length_a 4.825
_cell_length_b 4.825
_cell_length_c 4.825
_cell_angle_alpha 90.00
_cell_angle_beta 90.00
_cell_angle_gamma 90.00
_symmetry_space_group_name_H-M 'P m -3 m'
_symmetry_Int_Tables_number 221
_symmetry_space_group_name_Hall '-P 4 2 3'
loop_
_atom_site_label
_atom_site_fract_x
_atom_site_fract_y
_atom_site_fract_z
Sn1 0.000 0.000 0.000
Pd1 0.000 0.500 0.500
Ru1 0.500 0.500 0.500
```

Computed properties:
The magnetic moment comes out at 1.77 Bohr magnetons per cell.

Stability order, top to bottom: *ii*, *i*

*i*
# SrPdRu2

A geometry-optimized SrPdRu2 structure (GGA-PBE, the Alexandria database).

Structure (CIF):
```
data_SrPdRu2
_cell_length_a 6.652
_cell_length_b 6.652
_cell_length_c 6.652
_cell_angle_alpha 90.00
_cell_angle_beta 90.00
_cell_angle_gamma 90.00
_symmetry_space_group_name_H-M 'F m -3 m'
_symmetry_Int_Tables_number 225
_symmetry_space_group_name_Hall '-F 4 2 3'
loop_
_atom_site_label
_atom_site_fract_x
_atom_site_fract_y
_atom_site_fract_z
Sr1 0.000 0.000 0.000
Pd1 0.000 0.000 0.500
Ru1 0.250 0.250 0.250
```

Computed properties:
The magnetic moment comes out at 15.41 Bohr magnetons per cell.

*ii*
# SrPdRu2

A geometry-optimized SrPdRu2 structure (GGA-PBE, the Alexandria database).

Structure (CIF):
```
data_SrPdRu2
_cell_length_a 4.195
_cell_length_b 4.195
_cell_length_c 19.942
_cell_angle_alpha 90.00
_cell_angle_beta 90.00
_cell_angle_gamma 90.00
_symmetry_space_group_name_H-M 'I -4 2 d'
_symmetry_Int_Tables_number 122
_symmetry_space_group_name_Hall 'I -4 2bw'
loop_
_atom_site_label
_atom_site_fract_x
_atom_site_fract_y
_atom_site_fract_z
Sr1 0.000 0.000 0.000
Pd1 0.000 0.000 0.500
Ru1 0.125 0.250 0.625
```

Computed properties:
The magnetic moment comes out at 0.00 Bohr magnetons per cell.

Stability order, top to bottom: *ii*, *i*

*i*
# SrPd2Ru

A geometry-optimized SrPd2Ru structure (GGA-PBE, the Alexandria database).

Structure (CIF):
```
data_SrPd2Ru
_cell_length_a 6.755
_cell_length_b 6.755
_cell_length_c 6.755
_cell_angle_alpha 90.00
_cell_angle_beta 90.00
_cell_angle_gamma 90.00
_symmetry_space_group_name_H-M 'F m -3 m'
_symmetry_Int_Tables_number 225
_symmetry_space_group_name_Hall '-F 4 2 3'
loop_
_atom_site_label
_atom_site_fract_x
_atom_site_fract_y
_atom_site_fract_z
Sr1 0.000 0.000 0.000
Pd1 0.250 0.250 0.250
Ru1 0.000 0.000 0.500
```

Computed properties:
The magnetic moment comes out at 7.87 Bohr magnetons per cell.

*ii*
# SrPd2Ru

A geometry-optimized SrPd2Ru structure (GGA-PBE, the Alexandria database).

Structure (CIF):
```
data_SrPd2Ru
_cell_length_a 4.967
_cell_length_b 4.967
_cell_length_c 17.031
_cell_angle_alpha 90.00
_cell_angle_beta 90.00
_cell_angle_gamma 90.00
_symmetry_space_group_name_H-M 'I -4 2 d'
_symmetry_Int_Tables_number 122
_symmetry_space_group_name_Hall 'I -4 2bw'
loop_
_atom_site_label
_atom_site_fract_x
_atom_site_fract_y
_atom_site_fract_z
Sr1 0.000 0.000 0.000
Pd1 0.069 0.250 0.625
Ru1 0.000 0.000 0.500
```

Computed properties:
The magnetic moment comes out at 4.23 Bohr magnetons per cell.

Stability order, top to bottom: *i*, *ii*